No. 1
The following is a PBE calculation of In3Ga5 after structural relaxation, from the Alexandria database.

```
8
Lattice="-1.5539 -0.5502 -2.7725 2.2616 -2.2348 -0.5429 -9.6619 -11.6552 7.7281" Properties=species:S:1:pos:R:3 pbc="T T T"
Ga -4.4771 -7.2201 2.2063
In -8.1739 -9.8602 6.5379
Ga -2.4233 -4.7427 0.5636
In 0.3539 -1.3925 -1.6577
Ga -5.8646 -7.0745 4.6908
Ga -6.5308 -9.6976 3.8490
Ga -3.7973 -4.5807 3.0373
In -1.4880 -1.7950 1.1902
```

The value obtained for the total energy is -2.89 eV per atom. The density is 6.5 g/cm³. The formation energy is 29.4 meV/atom.

***

No. 2
The following is a PBE calculation of In3Ga4 after structural relaxation, from the Alexandria database.

```
7
Lattice="-1.8835 2.6544 0.4243 -1.3930 -0.5208 -2.9261 -8.5422 -9.2997 7.5628" Properties=species:S:1:pos:R:3 pbc="T T T"
Ga -8.6521 -6.9970 5.3643
Ga -3.1666 -0.1691 -0.3033
In -5.9848 -4.8399 3.7106
In -5.8339 -2.3262 1.3504
In 0.0000 0.0000 0.0000
Ga -9.1213 -4.9847 3.3886
Ga -2.6974 -2.1814 1.6724
```

The value obtained for the total energy is -2.88 eV per atom. The density is 6.6 g/cm³. The formation energy is 27.2 meV/atom.

***

No. 3
The following is a PBE calculation of InGa after structural relaxation, from the Alexandria database.

```
4
Lattice="-2.2692 1.2401 2.2340 0.8410 -4.4847 2.7084 3.9012 3.2610 1.5171" Properties=species:S:1:pos:R:3 pbc="T T T"
In 2.5260 -0.0346 4.2456
Ga 1.7038 -2.5466 2.6726
Ga 0.7693 2.5630 3.7869
In -0.0530 0.0510 2.2138
```

The value obtained for the total energy is -2.85 eV per atom. The density is 6.6 g/cm³. The formation energy is 29.6 meV/atom.

***

No. 4
The following is a PBE calculation of InGa12 after structural relaxation, from the Alexandria database.

```
13
Lattice="-7.1626 -0.6383 -0.2887 0.6928 -6.0135 -3.8925 0.1040 -3.9018 6.0463" Properties=species:S:1:pos:R:3 pbc="T T T"
Ga 0.2251 -3.4539 2.0503
Ga -3.4081 -1.8222 -1.1173
Ga -1.4439 -3.1663 -2.0184
Ga -5.3203 -2.4296 2.8066
Ga 0.5716 -6.4613 0.1036
Ga -3.0617 -4.8295 -3.0639
Ga 0.3724 -3.9820 -0.4349
In -3.1829 -5.2768 0.9326
Ga -5.0259 -3.4855 -2.1628
Ga 0.4244 -5.9333 2.5888
Ga -1.7383 -2.1104 2.9510
Ga -3.5033 -3.2457 4.3907
Ga -3.5553 -1.2944 1.3669
```

The value obtained for the total energy is -2.73 eV per atom. The density is 4.2 g/cm³. The formation energy is 271.0 meV/atom.

***

No. 5
The following is a PBE calculation of In5Ga after structural relaxation, from the Alexandria database.

```
6
Lattice="3.4254 0.0000 0.0000 0.0000 5.2924 -0.8887 0.0000 -1.2329 8.8607" Properties=species:S:1:pos:R:3 pbc="T T T"
Ga 0.0000 0.0000 0.0000
In 1.7127 2.6462 -0.4443
In 0.0000 0.8987 5.3522
In 0.0000 3.1607 2.6199
In 1.7127 3.6506 5.5372
In 1.7127 0.4089 2.4349
```

The value obtained for the total energy is -2.75 eV per atom. The density is 6.8 g/cm³. The formation energy is 37.4 meV/atom.

***

No. 6
The following is a PBE calculation of In2Ga after structural relaxation, from the Alexandria database.

```
12
Lattice="7.3915 0.0000 0.0000 0.0000 5.4341 0.0000 0.0000 0.0000 7.3819" Properties=species:S:1:pos:R:3 pbc="T T T"
In 2.5622 2.7130 1.1307
In 4.8293 2.7211 6.2512
In 6.2579 2.7211 2.5602
Ga 0.0000 1.3585 0.0022
In 6.2579 0.0040 4.8217
Ga 3.6957 4.0756 3.6888
In 4.8293 0.0040 1.1307
In 2.5622 5.4301 6.2512
In 1.1336 5.4301 2.5602
In 1.1336 2.7130 4.8217
Ga 0.0000 4.0756 7.3798
Ga 3.6957 1.3585 3.6931
```

The value obtained for the total energy is -2.81 eV per atom. The density is 6.7 g/cm³. The formation energy is 21.4 meV/atom.

***

No. 7
The following is a PBE calculation of InGa after structural relaxation, from the Alexandria database.

```
4
Lattice="3.2736 0.0000 0.0000 0.0000 3.6532 0.0010 0.0000 -0.0019 7.7648" Properties=species:S:1:pos:R:3 pbc="T T T"
In 2.4552 0.9116 6.5758
Ga 0.8184 2.7387 4.5922
In 0.8184 2.7396 1.1900
Ga 2.4552 0.9125 3.1736
```

The value obtained for the total energy is -2.85 eV per atom. The density is 6.6 g/cm³. The formation energy is 28.9 meV/atom.

***

No. 8
The following is a PBE calculation of In5Ga after structural relaxation, from the Alexandria database.

```
6
Lattice="4.4258 0.0000 0.0000 0.0000 5.2506 0.0000 0.0000 -2.6253 6.6843" Properties=species:S:1:pos:R:3 pbc="T T T"
Ga 0.0000 0.0000 0.0000
In 0.0000 0.0000 4.4475
In 2.2129 0.0000 2.1075
In 2.2129 2.6253 0.0000
In 2.2129 2.6253 4.5768
In 0.0000 2.6253 2.2368
```

The value obtained for the total energy is -2.76 eV per atom. The density is 6.9 g/cm³. The formation energy is 26.6 meV/atom.